Cr2IrPb | GGA-PBEsol | relaxed

a b c (Å): 4.7290 4.7290 4.7290
angles (deg): 129.53 129.53 74.17
Last column: nearest neighbours and their distance in Å.
Positions (direct):
Cr: 0.2500 0.7500 0.5000  4 Pb 2.76, 4 Ir 2.76, 4 Cr 2.85
Cr: 0.7500 0.2500 0.5000  4 Pb 2.76, 4 Ir 2.76, 4 Cr 2.85
Ir: 0.0000 0.0000 0.0000  8 Cr 2.76, 4 Pb 2.85
Pb: 0.5000 0.5000 0.0000  8 Cr 2.76, 4 Ir 2.85

Output
Space group   No. 139
Formation energy   0.542 eV/atom

---

CrIr3Pb | GGA-PBEsol | relaxed

a b c (Å): 4.5198 4.5198 4.5198
angles (deg): 90.00 90.00 90.00
Last column: nearest neighbours and their distance in Å.
Positions (direct):
Cr: 0.0000 0.0000 0.0000  6 Ir 2.26
Ir: 0.0000 0.0000 0.5000  2 Cr 2.26
Ir: 0.0000 0.5000 0.0000  2 Cr 2.26
Ir: 0.5000 0.0000 0.0000  2 Cr 2.26
Pb: 0.5000 0.5000 0.5000  12 Ir 3.20

Output
Space group   No. 221
Formation energy   1.187 eV/atom

---

Cr2IrPb | GGA-PBEsol | relaxed

a b c (Å): 4.4392 4.4392 4.4392
angles (deg): 60.00 60.00 60.00
Last column: nearest neighbours and their distance in Å.
Positions (direct):
Cr: 0.0000 0.0000 0.0000  4 Pb 2.72, 4 Cr 2.72
Cr: 0.2500 0.2500 0.2500  4 Ir 2.72, 4 Cr 2.72
Ir: 0.5000 0.5000 0.5000  4 Cr 2.72, 4 Pb 2.72
Pb: 0.7500 0.7500 0.7500  4 Ir 2.72, 4 Cr 2.72

Output
Space group   No. 216
Formation energy   0.471 eV/atom

---

Cr2IrPb2 | GGA-PBEsol | relaxed

a b c (Å): 6.5445 6.5445 6.5445
angles (deg): 144.14 144.14 51.62
Last column: nearest neighbours and their distance in Å.
Positions (direct):
Cr: 0.0768 0.0768 0.0000  1 Cr 1.81
Cr: 0.9232 0.9232 0.0000  1 Cr 1.81
Ir: 0.5000 0.5000 0.0000  8 Cr 2.99
Pb: 0.2500 0.7500 0.5000  4 Pb 2.85, 4 Cr 2.87
Pb: 0.7500 0.2500 0.5000  4 Pb 2.85, 4 Cr 2.87

Output
Space group   No. 139
Formation energy   1.254 eV/atom

---

CrIrPd3 | GGA-PBEsol | relaxed

a b c (Å): 4.7307 4.7307 4.7307
angles (deg): 90.00 90.00 90.00
Last column: nearest neighbours and their distance in Å.
Positions (direct):
Cr: 0.0000 0.0000 0.0000  12 Pd 3.35
Ir: 0.5000 0.5000 0.5000  6 Pd 2.37
Pd: 0.0000 0.5000 0.5000  2 Ir 2.37
Pd: 0.5000 0.0000 0.5000  2 Ir 2.37
Pd: 0.5000 0.5000 0.0000  2 Ir 2.37

Output
Space group   No. 221
Formation energy   1.479 eV/atom

---

CrReIr3 | GGA-PBEsol | relaxed

a b c (Å): 4.6743 4.6743 4.6743
angles (deg): 90.00 90.00 90.00
Last column: nearest neighbours and their distance in Å.
Positions (direct):
Cr: 0.0000 0.0000 0.0000  12 Ir 3.31
Re: 0.5000 0.5000 0.5000  6 Ir 2.34
Ir: 0.0000 0.5000 0.5000  2 Re 2.34
Ir: 0.5000 0.0000 0.5000  2 Re 2.34
Ir: 0.5000 0.5000 0.0000  2 Re 2.34

Output
Space group   No. 221
Formation energy   1.939 eV/atom

---

CrRe2Ir | GGA-PBEsol | relaxed

a b c (Å): 2.6899 2.6899 7.5604
angles (deg): 90.00 90.00 90.00
Last column: nearest neighbours and their distance in Å.
Positions (direct):
Cr: 0.0000 0.0000 0.0000  8 Re 2.62, 4 Cr 2.69
Re: 0.5000 0.5000 0.2381  4 Cr 2.62, 4 Re 2.69, 4 Ir 2.75
Re: 0.5000 0.5000 0.7619  4 Cr 2.62, 4 Re 2.69, 4 Ir 2.75
Ir: 0.0000 0.0000 0.5000  4 Ir 2.69, 8 Re 2.75

Output
Excess energy over the best structure of this formula in the dataset   61 meV/atom
Space group   No. 123
Formation energy   0.025 eV/atom

---

CrRe2Ir | GGA-PBEsol | relaxed

a b c (Å): 4.6767 4.6767 4.6767
angles (deg): 132.36 132.36 69.66
Last column: nearest neighbours and their distance in Å.
Positions (direct):
Cr: 0.0000 0.0000 0.0000  4 Ir 2.67, 8 Re 2.69
Re: 0.2500 0.7500 0.5000  4 Re 2.67, 4 Cr 2.69, 4 Ir 2.69
Re: 0.7500 0.2500 0.5000  4 Re 2.67, 4 Cr 2.69, 4 Ir 2.69
Ir: 0.5000 0.5000 0.0000  4 Cr 2.67, 8 Re 2.69

Output
Excess energy over the best structure of this formula in the dataset   0 meV/atom
Space group   No. 139
Formation energy   -0.036 eV/atom

---

Cr2ReIr | GGA-PBEsol | relaxed

a b c (Å): 2.7906 2.7906 6.5543
angles (deg): 90.00 90.00 90.00
Last column: nearest neighbours and their distance in Å.
Positions (direct):
Cr: 0.0000 0.0000 0.0000  4 Cr 2.32
Cr: 0.5000 0.5000 0.1855  4 Cr 2.32
Re: 0.5000 0.5000 0.7410  5 Cr 2.60-2.91, 4 Ir 2.75, 4 Re 2.79
Ir: 0.0000 0.0000 0.4497  4 Cr 2.63, 4 Re 2.75, 4 Ir 2.79

Output
Space group   No. 99
Formation energy   0.026 eV/atom

---

CrReIr | GGA-PBEsol | relaxed

a b c (Å): 4.0930 4.0930 4.0930
angles (deg): 60.00 60.00 60.00
Last column: nearest neighbours and their distance in Å.
Positions (direct):
Cr: 0.0000 0.0000 0.0000  4 Re 2.51
Re: 0.7500 0.7500 0.7500  4 Ir 2.51, 4 Cr 2.51
Ir: 0.5000 0.5000 0.5000  4 Re 2.51

Output
Space group   No. 216
Formation energy   0.578 eV/atom

---

Cr4ReIr | GGA-PBEsol | relaxed

a b c (Å): 4.6778 4.6778 4.6778
angles (deg): 60.00 60.00 60.00
Last column: nearest neighbours and their distance in Å.
Positions (direct):
Cr: 0.1242 0.1242 0.1242  6 Cr 2.32-2.35
Cr: 0.1242 0.1242 0.6273  6 Cr 2.32-2.35
Cr: 0.1242 0.6273 0.1242  6 Cr 2.32-2.35
Cr: 0.6273 0.1242 0.1242  6 Cr 2.32-2.35
Re: 0.7500 0.7500 0.7500  12 Cr 2.74, 4 Ir 2.86
Ir: 0.5000 0.5000 0.5000  12 Cr 2.74, 4 Re 2.86

Output
Space group   No. 216
Formation energy   -0.078 eV/atom

---

CrIrRh2 | GGA-PBEsol | relaxed

a b c (Å): 2.6539 2.6539 7.4190
angles (deg): 90.00 90.00 90.00
Last column: nearest neighbours and their distance in Å.
Positions (direct):
Cr: 0.0000 0.0000 0.0000  4 Ir 2.57, 4 Rh 2.57, 4 Cr 2.65
Ir: 0.5000 0.5000 0.2363  4 Cr 2.57, 4 Ir 2.65, 4 Rh 2.71
Rh: 0.0000 0.0000 0.5001  8 Rh 2.65-2.71, 4 Ir 2.71
Rh: 0.5000 0.5000 0.7628  4 Cr 2.57, 8 Rh 2.65-2.71

Output
Space group   No. 99
Formation energy   -0.088 eV/atom